No. 1
{
  "formula": "MnW3Se8",
  "functional": "PBE-GGA",
  "state": "relaxed",
  "e_form_raw_kj_per_mol_atoms": -34.8,
  "dft_energy_ev_per_atom": -6.6861,
  "space_group": "P6_3mc, No. 186",
  "lattice": [[7.002, 0.000, 0.000], [-3.501, 6.064, 0.000], [0.000, 0.000, 12.271]],
  "species": ["Mn", "Mn", "W", "W", "W", "W", "W", "W", "Se", "Se", "Se", "Se", "Se", "Se", "Se", "Se", "Se", "Se", "Se", "Se", "Se", "Se", "Se", "Se"],
  "frac_coords": [[0.333, 0.667, 0.000], [0.667, 0.333, 0.500], [0.138, 0.276, 0.766], [0.138, 0.862, 0.766], [0.276, 0.138, 0.266], [0.724, 0.862, 0.766], [0.862, 0.138, 0.266], [0.862, 0.724, 0.266], [0.000, 0.000, 0.419], [0.000, 0.000, 0.919], [0.004, 0.502, 0.889], [0.172, 0.344, 0.140], [0.172, 0.828, 0.140], [0.333, 0.667, 0.665], [0.344, 0.172, 0.640], [0.498, 0.502, 0.889], [0.498, 0.996, 0.889], [0.502, 0.004, 0.389], [0.502, 0.498, 0.389], [0.656, 0.828, 0.140], [0.667, 0.333, 0.165], [0.828, 0.172, 0.640], [0.828, 0.656, 0.640], [0.996, 0.498, 0.389]]
}

=====

No. 2
{
  "formula": "Mn2WSe",
  "functional": "PBE-GGA",
  "state": "relaxed",
  "e_form_raw_kj_per_mol_atoms": 44.6,
  "dft_energy_ev_per_atom": -8.2316,
  "space_group": "P4/mmm, No. 123",
  "lattice": [[3.797, 0.000, 0.000], [0.000, 3.797, 0.000], [0.000, 0.000, 3.943]],
  "species": ["Mn", "Mn", "W", "Se"],
  "frac_coords": [[0.000, 0.500, 0.000], [0.500, 0.000, 0.000], [0.000, 0.000, 0.500], [0.500, 0.500, 0.500]]
}

=====

No. 3
{
  "formula": "MnWSe2",
  "functional": "PBE-GGA",
  "state": "relaxed",
  "e_form_raw_kj_per_mol_atoms": 37.2,
  "dft_energy_ev_per_atom": -6.8879,
  "space_group": "Fm-3m, No. 225",
  "relative_energy_mev_per_atom": 570,
  "lattice": [[0.000, 3.086, 3.086], [3.086, 0.000, 3.086], [3.086, 3.086, 0.000]],
  "species": ["Mn", "W", "Se", "Se"],
  "frac_coords": [[0.000, 0.000, 0.000], [0.500, 0.500, 0.500], [0.250, 0.250, 0.250], [0.750, 0.750, 0.750]]
}

=====

No. 4
{
  "formula": "MnWSe2",
  "functional": "PBE-GGA",
  "state": "relaxed",
  "e_form_raw_kj_per_mol_atoms": 51.2,
  "dft_energy_ev_per_atom": -6.7427,
  "space_group": "Cmmm, No. 65",
  "relative_energy_mev_per_atom": 715,
  "lattice": [[1.633, -2.794, 0.000], [1.633, 2.794, 0.000], [0.000, 0.000, 7.956]],
  "species": ["Mn", "W", "Se", "Se"],
  "frac_coords": [[0.000, 0.000, 0.000], [0.000, 0.000, 0.500], [0.500, 0.500, 0.251], [0.500, 0.500, 0.749]]
}

=====

The following total magnetic moment values (in μB/cell) correspond, in order, to the records above: 6.16, 4.72, 0.00, 4.05.